LiTlOs: relaxed, PBE.

* formation energy from the elements: 0.64 eV/atom
* polymorph energy (0 for the lowest one): 73.9 meV/atom

Lattice parameters (Å, degrees): 2.833 2.833 13.368 90.00 90.00 90.00
Space group I4mm (No. 107)
Symmetry-distinct sites (fractional):
Li1 0.000 0.000 0.000 (multiplicity 2)
Tl1 0.000 0.000 0.314 (multiplicity 2)
Os1 0.000 0.000 0.642 (multiplicity 2)



LiTlOs2: relaxed, PBE.

* formation energy from the elements: 0.83 eV/atom
* polymorph energy (0 for the lowest one): 455.0 meV/atom

Lattice parameters (Å, degrees): 5.110 8.877 2.891 90.00 90.00 90.00
Space group Cmmm (No. 65)
Symmetry-distinct sites (fractional):
Li1 0.000 0.000 0.000 (multiplicity 2)
Tl1 0.000 0.500 0.000 (multiplicity 2)
Os1 0.250 0.250 0.500 (multiplicity 4)



Li2TlOs: relaxed, PBE.

* formation energy from the elements: 0.41 eV/atom

Lattice parameters (Å, degrees): 4.679 4.679 2.800 90.00 90.00 90.00
Space group P4/mmm (No. 123)
Symmetry-distinct sites (fractional):
Li1 0.000 0.500 0.000 (multiplicity 2)
Tl1 0.000 0.000 0.500 (multiplicity 1)
Os1 0.500 0.500 0.500 (multiplicity 1)



LiTlOs2: relaxed, PBE.

* formation energy from the elements: 0.74 eV/atom
* polymorph energy (0 for the lowest one): 362.6 meV/atom

Lattice parameters (Å, degrees): 3.922 3.922 18.990 90.00 90.00 90.00
Space group I-42d (No. 122)
Symmetry-distinct sites (fractional):
Li1 0.000 0.000 0.000 (multiplicity 4)
Tl1 0.000 0.000 0.500 (multiplicity 4)
Os1 0.167 0.250 0.125 (multiplicity 8)



LiTlOs2: relaxed, PBE.

* formation energy from the elements: 0.39 eV/atom
* polymorph energy (0 for the lowest one): 14.5 meV/atom

Lattice parameters (Å, degrees): 2.873 3.713 6.082 90.00 90.00 90.00
Space group Pmm2 (No. 25)
Symmetry-distinct sites (fractional):
Li1 0.000 0.000 0.000 (multiplicity 1)
Tl1 0.500 0.500 0.755 (multiplicity 1)
Os1 0.000 0.000 0.433 (multiplicity 1)
Os2 0.500 0.500 0.250 (multiplicity 1)



Li2TlOs: relaxed, PBE.

* formation energy from the elements: 0.31 eV/atom

Lattice parameters (Å, degrees): 2.720 4.337 5.588 90.00 90.90 90.00
Space group P2/m (No. 10)
Symmetry-distinct sites (fractional):
Li1 0.002 0.000 0.286 (multiplicity 2)
Tl1 0.500 0.500 0.000 (multiplicity 1)
Os1 0.500 0.500 0.500 (multiplicity 1)



Which of these has the highest formation energy from the elements?
number 2



Look up the formation energy from the elements of the third one.
0.41 eV/atom



Which formula does entry 5 have?
LiTlOs2